Crystalline TlFeTeF2 at its relaxed geometry. Source: Alexandria via LeMat-Bulk, functional GGA+U.

Unit cell a=4.607 b=4.607 c=5.138 alpha=90.00 beta=90.00 gamma=90.00
Space group P4/mmm (No. 123)
Unique sites:
Tl 0.000 0.000 0.000 [1 per cell]
Fe 0.500 0.500 0.000 [1 per cell]
Te 0.500 0.500 0.500 [1 per cell]
F 0.000 0.500 0.500 [2 per cell]

Computed properties:
Its size of the total moment is 2.87 μB per cell. The volume comes out at 109.06 Å³/f.u. For the final energy, the calculation gives -3.52 eV per atom.